1.
TaTi4Os | Alexandria via LeMat-Bulk | PBE | relaxed; SG = R-3m (166); ΔH_f (0 K) = 33.89 kJ/mol of atoms; total magnetization = 0.00 μB per formula unit; uncorrected energy = -8.759 eV/atom; relative energy among the computed polymorphs = 613.7 meV per atom
1.0
-2.6608 3.3396 0.6093
-3.0641 -0.2088 3.0305
2.6347 3.7908 5.9955
Ta Ti Os
1 4 1
Direct
0.5000 0.5000 0.5000
0.6272 0.6273 0.1183
0.3728 0.3727 0.8817
0.1211 0.1207 0.6371
0.8789 0.8793 0.3629
0.0000 0.0000 0.0000



2.
ReIrAu | Alexandria via LeMat-Bulk | PBE | relaxed; SG = Fmm2 (42); ΔH_f (0 K) = 38.07 kJ/mol of atoms; total magnetization = 0.00 μB per formula unit; uncorrected energy = -7.801 eV/atom; relative energy among the computed polymorphs = 258.4 meV per atom
1.0
7.7020 -0.0088 0.0055
6.9722 2.6475 -0.0029
0.7298 -1.1848 2.3775
Au Ir Re
1 1 1
Direct
0.0004 0.0004 0.9996
0.3245 0.3245 0.6755
0.6750 0.6750 0.3250



3.
Ba2Li3As2 | Alexandria via LeMat-Bulk | PBE | relaxed; SG = C2/m (12); ΔH_f (0 K) = -70.02 kJ/mol of atoms; total magnetization = 0.87 μB per formula unit; uncorrected energy = -3.424 eV/atom
1.0
-1.0914 -2.3343 -3.7426
1.8061 -3.8992 4.6636
-7.0604 1.7217 0.9851
Ba Li As
2 3 2
Direct
0.8691 0.7383 0.2334
0.1309 0.2617 0.7666
0.5000 0.0000 0.0000
0.6575 0.3150 0.4231
0.3425 0.6850 0.5769
0.8443 0.6887 0.7657
0.1557 0.3113 0.2343



4.
K2In6GaAg | Alexandria via LeMat-Bulk | PBE | relaxed; SG = R-3m (166); ΔH_f (0 K) = 0.41 kJ/mol of atoms; total magnetization = 0.00 μB per formula unit; uncorrected energy = -2.446 eV/atom
1.0
-3.5364 -1.3541 6.2626
-6.8648 -2.5324 -0.1478
1.2207 -13.9976 1.9389
K In Ga Ag
4 12 2 2
Direct
0.8543 0.8543 0.4370
0.1457 0.1457 0.5630
0.7046 0.7046 0.8861
0.2954 0.2954 0.1139
0.8743 0.3917 0.3424
0.3917 0.8743 0.3424
0.3917 0.3917 0.3424
0.1257 0.6083 0.6576
0.6083 0.1257 0.6576
0.6083 0.6083 0.6576
0.7925 0.1954 0.8167
0.1954 0.7925 0.8167
0.1954 0.1954 0.8167
0.2075 0.8046 0.1833
0.8046 0.2075 0.1833
0.8046 0.8046 0.1833
0.6257 0.6257 0.1230
0.3743 0.3743 0.8770
0.0000 0.0000 0.0000
0.5000 0.5000 0.5000



5.
Si2Pt | Alexandria via LeMat-Bulk | PBE | relaxed; SG = I4_1/amd (141); formation energy (no corrections) = -82 meV/atom; total magnetization = 0.00 μB per formula unit; uncorrected energy = -5.711 eV/atom
1.0
-1.4945 1.4945 10.4789
1.4945 -1.4945 10.4789
1.4945 1.4945 -10.4789
Si Pt
4 2
Direct
0.5748 0.5748 0.0000
0.1752 0.6752 0.5000
0.4252 0.4252 0.0000
0.3248 0.8248 0.5000
0.0000 0.0000 0.0000
0.7500 0.2500 0.5000



6.
PmTlH | Alexandria via LeMat-Bulk | PBE | relaxed; SG = P-6m2 (187); total magnetization = 0.00 μB per formula unit; uncorrected energy = -3.867 eV/atom; relative energy among the computed polymorphs = 73.0 meV per atom
1.0
-2.4206 -0.5520 2.8485
-0.3060 -2.0451 -3.1626
3.2861 -3.7009 2.0752
H Tl Pm
1 1 1
Direct
0.3333 0.6667 0.5003
0.0000 0.0000 0.9998
0.6667 0.3333 0.4998



7.
Dy4ThS5 | Alexandria via LeMat-Bulk | PBE | relaxed; SG = Immm (71); formation energy (no corrections) = -1946 meV/atom; total magnetization = 0.00 μB per formula unit; uncorrected energy = -6.592 eV/atom
1.0
3.8488 0.0000 -0.7425
-0.2876 5.3697 -1.4905
0.0181 -0.0005 10.4397
Dy Th S
4 1 5
Direct
0.4018 0.4018 0.8037
0.7994 0.7994 0.5988
0.2006 0.2006 0.4012
0.5982 0.5982 0.1963
0.0000 0.0000 0.0000
0.6052 0.1052 0.2103
0.8005 0.3005 0.6011
0.1995 0.6995 0.3989
0.0000 0.5000 0.0000
0.3948 0.8948 0.7897



8.
AcCeSmZn | Alexandria via LeMat-Bulk | PBE | relaxed; SG = F-43m (216); ΔH_f (0 K) = 18.91 kJ/mol of atoms; total magnetization = 1.37 μB per formula unit; uncorrected energy = -3.813 eV/atom
1.0
-2.8005 0.9195 4.7111
-1.2787 -4.2482 3.3467
2.5578 -0.5415 4.9038
Zn Ac Ce Sm
1 1 1 1
Direct
0.0000 0.0000 0.0000
0.5000 0.5000 0.5000
0.7500 0.7500 0.7500
0.2500 0.2500 0.2500



Q: Which formula does entry 4 have?
A: K2In6GaAg



Copy entry 6 word for word.
PmTlH | Alexandria via LeMat-Bulk | PBE | relaxed; SG = P-6m2 (187); total magnetization = 0.00 μB per formula unit; uncorrected energy = -3.867 eV/atom; relative energy among the computed polymorphs = 73.0 meV per atom
1.0
-2.4206 -0.5520 2.8485
-0.3060 -2.0451 -3.1626
3.2861 -3.7009 2.0752
H Tl Pm
1 1 1
Direct
0.3333 0.6667 0.5003
0.0000 0.0000 0.9998
0.6667 0.3333 0.4998